A relaxed structure of Tb5Nd2Dy2, computed with PBE-GGA.

Summary:
Calculated formation energy   0.230 eV/atom
DOS at the Fermi energy   12.8 states/eV/f.u.
Energy relative to the lowest polymorph listed for this composition   20 meV/atom
Space group   No. 12
Calculated volume   310 Å³/cell

```
Tb5Nd2Dy2
1.0
3.4298 0.0000 -0.7074
-0.4872 7.8804 -2.3622
0.7351 -2.9799 12.2321
Nd Tb Dy
2 5 2
Direct
0.8189 0.7841 0.6378
0.1811 0.2159 0.3622
0.3096 0.1502 0.6192
0.0958 0.4559 0.1915
0.6904 0.8498 0.3808
0.9042 0.5441 0.8085
0.0000 0.0000 0.0000
0.5474 0.7386 0.0947
0.4526 0.2614 0.9053
```

A relaxed structure of ScInHg, computed with PBE-GGA.

Summary:
Calculated formation energy   -0.223 eV/atom
DOS at the Fermi energy   1.4 states/eV/f.u.
Energy relative to the lowest polymorph listed for this composition   97 meV/atom
Space group   No. 129
Calculated volume   142 Å³/cell

```
ScInHg
1.0
4.4275 0.0234 0.0000
-0.0235 4.4275 0.0000
0.0000 0.0000 7.2315
In Hg Sc
2 2 2
Direct
0.3365 0.8365 0.7911
0.8365 0.3365 0.2089
0.8364 0.8364 0.5000
0.3364 0.3364 0.5000
0.8365 0.3365 0.8020
0.3365 0.8365 0.1980
```

A relaxed structure of KAgF4, computed with PBE-GGA.

Summary:
Raw formation energy   -1.75 eV/atom
Energy relative to the lowest polymorph listed for this composition   0 meV/atom
Space group   No. 140
Calculated volume   213 Å³/cell

```
KAgF4
1.0
-2.0224 -5.5165 -4.2404
-2.6741 -5.2153 4.2606
-1.5460 7.0694 -0.3690
F Ag K
8 2 2
Direct
0.0482 0.2186 0.5000
0.4518 0.9518 0.1704
0.5482 0.0482 0.8296
0.2814 0.4518 0.5000
0.7186 0.5482 0.5000
0.2186 0.7186 0.1704
0.7814 0.2814 0.8296
0.9518 0.7814 0.5000
0.0000 0.5000 0.5000
0.5000 0.0000 0.5000
0.7500 0.7500 0.0000
0.2500 0.2500 0.0000
```

A relaxed structure of YHo2Er2Sc2, computed with PBE-GGA.

Summary:
Calculated formation energy   0.181 eV/atom
DOS at the Fermi energy   12.4 states/eV/f.u.
Space group   No. 12
Calculated volume   210 Å³/cell

```
YHo2Er2Sc2
1.0
-2.5425 2.1828 -0.4587
-3.9653 -7.5892 -1.6668
0.4423 2.1575 7.8157
Ho Sc Y Er
2 2 1 2
Direct
0.5721 0.1442 0.9148
0.4279 0.8558 0.0852
0.6519 0.3038 0.3931
0.3481 0.6962 0.6069
0.0000 0.0000 0.5000
0.7887 0.5773 0.2090
0.2113 0.4227 0.7910
```

A relaxed structure of SnIrF3, computed with PBE-GGA.

Summary:
DOS at the Fermi energy   6.6 states/eV/f.u.
Raw formation energy   -0.47 eV/atom
Energy relative to the lowest polymorph listed for this composition   201 meV/atom
Space group   No. 221
Calculated volume   93 Å³/cell

```
SnIrF3
1.0
4.5292 0.0000 0.0000
0.0000 4.5292 0.0000
0.0000 0.0000 4.5292
F Ir Sn
3 1 1
Direct
0.0000 0.5000 0.0000
0.0000 0.0000 0.5000
0.5000 0.0000 0.0000
0.5000 0.5000 0.5000
0.0000 0.0000 0.0000
```

A relaxed structure of BaMoSeBr2, computed with PBE-GGA.

Summary:
DOS at the Fermi energy   1.9 states/eV/f.u.
Raw formation energy   -0.78 eV/atom
Energy relative to the lowest polymorph listed for this composition   0 meV/atom
Space group   No. 123
Calculated volume   147 Å³/cell

```
BaMoSeBr2
1.0
-1.5202 4.1304 -2.9105
-2.7863 -3.2208 -3.1154
-4.2311 0.6417 3.1207
Br Ba Mo Se
2 1 1 1
Direct
0.0000 0.5000 0.0000
0.5000 0.0000 0.0000
0.5000 0.5000 0.5000
0.0000 0.0000 0.0000
0.0000 0.0000 0.5000
```